(1)
## HfV2PbSe (GGA-PBE)

Data for an optimized crystal structure of HfV2PbSe.

Values from the calculation:
**Magnetization**: 5.70 Bohr magnetons per cell
**Formation energy (no corrections)**: 1.04 eV per atom
**Theoretical density**: 7.29 Mg/m³
**Space group**: P4/mmm, No. 123
**Crystal system**: tetragonal

Structure (POSCAR):
```
HfV2PbSe
1.0
-0.005 2.122 -4.604
4.373 -2.241 -1.038
-2.493 -4.010 -1.845
Pb Hf Se V
1 1 1 2
direct
0.500 0.500 0.500
0.000 0.000 0.000
0.000 0.500 0.000
0.000 0.000 0.500
0.500 0.000 0.000
```

(2)
## Hf4SiPb (GGA-PBE)

Data for an optimized crystal structure of Hf4SiPb.

Values from the calculation:
**Magnetization**: 0.00 Bohr magnetons per cell
**Formation energy (no corrections)**: -0.31 eV per atom
**Theoretical density**: 12.52 Mg/m³
**Space group**: C2/c, No. 15
**Crystal system**: monoclinic

Structure (POSCAR):
```
Hf4SiPb
1.0
-1.689 -0.431 -5.245
-2.985 -5.776 4.409
-2.601 6.647 1.717
Hf Si Pb
8 2 2
direct
0.358 0.912 0.633
0.949 0.808 0.194
0.225 0.279 0.367
0.255 0.614 0.806
0.642 0.088 0.367
0.775 0.721 0.633
0.051 0.192 0.806
0.745 0.386 0.194
0.748 0.998 0.997
0.252 0.002 0.003
0.360 0.610 0.220
0.640 0.390 0.780
```

(3)
## Hf2Si2Pb (GGA-PBE)

Data for an optimized crystal structure of Hf2Si2Pb.

Values from the calculation:
**Magnetization**: 0.00 Bohr magnetons per cell
**Formation energy (no corrections)**: -0.19 eV per atom
**Theoretical density**: 10.59 Mg/m³
**Space group**: P4/mbm, No. 127
**Crystal system**: tetragonal

Structure (POSCAR):
```
Hf2Si2Pb
1.0
-6.552 -2.772 1.663
3.166 -6.263 2.035
0.326 1.269 3.399
Pb Si Hf
2 4 4
direct
0.000 0.000 0.000
0.500 0.500 0.000
0.382 0.882 0.000
0.882 0.618 0.000
0.618 0.118 0.000
0.118 0.382 0.000
0.171 0.671 0.500
0.671 0.829 0.500
0.829 0.329 0.500
0.329 0.171 0.500
```

(4)
## Hf6SiPb2 (GGA-PBE)

Data for an optimized crystal structure of Hf6SiPb2.

Values from the calculation:
**Magnetization**: 0.00 Bohr magnetons per cell
**Formation energy (no corrections)**: -0.31 eV per atom
**Theoretical density**: 12.84 Mg/m³
**Space group**: P-62m, No. 189
**Crystal system**: hexagonal

Structure (POSCAR):
```
Hf6SiPb2
1.0
3.865 0.000 0.000
0.000 6.945 -3.198
0.000 -0.703 7.613
Hf Si Pb
6 1 2
direct
0.500 0.619 0.000
0.500 0.381 0.381
0.500 0.000 0.619
0.000 0.238 0.000
0.000 0.762 0.762
0.000 0.000 0.238
0.500 0.000 0.000
0.000 0.333 0.667
0.000 0.667 0.333
```

Number 1: uncorrected energy -6.04 eV/atom, N(E_F) 9.0 states/eV per cell. Number 2: uncorrected energy -8.47 eV/atom, N(E_F) 8.1 states/eV per cell. Number 3: uncorrected energy -7.08 eV/atom, N(E_F) 12.2 states/eV per cell. Number 4: uncorrected energy -8.37 eV/atom, N(E_F) 2.7 states/eV per cell.